An optimized crystal structure of Ti6Al10W, computed with PBE.

Properties
* DFT total energy: -100.7 eV for the cell shown
* formation enthalpy at 0 K: -0.1727 eV/atom

Unit cell a=5.4601 b=7.6875 c=7.6875 alpha=120.00 beta=90.00 gamma=90.00
With the nearest neighbours (Å) after each atom.
Sites, in units of the cell vectors:
Al 0.5000 0.3333 0.6667  6 Ti 2.64, 2 Al 2.73
Al 0.8190 0.0000 0.2681  5 Ti 2.66-2.90, 1 W 2.70, 2 Al 2.86
Ti 0.6909 0.6267 0.0000  9 Al 2.64-2.95, 1 Ti 2.85
W 0.5000 0.0000 0.0000  6 Al 2.70
Ti 0.3091 0.3733 0.0000  9 Al 2.64-2.95, 1 Ti 2.85
Al 0.1810 0.7319 0.0000  5 Ti 2.66-2.90, 1 W 2.70, 2 Al 2.86
Al 0.0000 0.3333 0.6667  8 Al 2.73-3.01, 6 Ti 2.95
Ti 0.6909 0.3733 0.3733  9 Al 2.64-2.95, 1 Ti 2.85
Ti 0.3091 0.0000 0.3733  9 Al 2.64-2.95, 1 Ti 2.85
Al 0.8190 0.2681 0.0000  5 Ti 2.66-2.90, 1 W 2.70, 2 Al 2.86
Al 0.0000 0.6667 0.3333  8 Al 2.73-3.01, 6 Ti 2.95
Ti 0.6909 0.0000 0.6267  9 Al 2.64-2.95, 1 Ti 2.85
Ti 0.3091 0.6267 0.6267  9 Al 2.64-2.95, 1 Ti 2.85
Al 0.1810 0.2681 0.2681  5 Ti 2.66-2.90, 1 W 2.70, 2 Al 2.86
Al 0.5000 0.6667 0.3333  6 Ti 2.64, 2 Al 2.73
Al 0.1810 0.0000 0.7319  5 Ti 2.66-2.90, 1 W 2.70, 2 Al 2.86
Al 0.8190 0.7319 0.7319  5 Ti 2.66-2.90, 1 W 2.70, 2 Al 2.86

***

An optimized crystal structure of SrCoP2, computed with PBE.

Properties
* DFT total energy: -21.7 eV for the cell shown
* ΔE to the lowest computed polymorph: 148.7 meV/atom
* formation enthalpy at 0 K: -0.5119 eV/atom

Unit cell a=4.2307 b=4.6171 c=4.2613 alpha=89.99 beta=90.00 gamma=90.00
With the nearest neighbours (Å) after each atom.
Sites, in units of the cell vectors:
P 0.5000 0.0000 0.2887  2 Co 2.10-2.16
Co 0.5000 0.9999 0.7819  4 P 2.10-2.26
Sr 0.0000 0.5000 0.4615  8 P 3.12-3.22, 4 Co 3.42
P 0.0000 0.0000 0.9678  2 Co 2.26, 2 P 2.52

***

An optimized crystal structure of Ca2ReTe, computed with PBE.

Properties
* DFT total energy: -18.2 eV for the cell shown

Unit cell a=10.0698 b=10.0698 c=10.0698 alpha=20.79 beta=20.79 gamma=20.79
With the nearest neighbours (Å) after each atom.
Sites, in units of the cell vectors:
Ca 0.7670 0.7670 0.7670  3 Re 3.13
Ca 0.9874 0.9874 0.9874  3 Te 3.32, 6 Ca 3.63
Re 0.5122 0.5122 0.5122  3 Te 2.65
Te 0.2334 0.2334 0.2334  3 Re 2.65

***

An optimized crystal structure of NaGePt, computed with PBE.

Properties
* DFT total energy: -52.8 eV for the cell shown
* formation enthalpy at 0 K: -0.4041 eV/atom

Unit cell a=4.9555 b=7.5849 c=7.5849 alpha=75.03 beta=75.13 gamma=75.13
With the nearest neighbours (Å) after each atom.
Sites, in units of the cell vectors:
Pt 0.8587 0.0812 0.8312  4 Ge 2.47-2.59
Na 0.1883 0.6644 0.9144  4 Pt 2.99-3.15, 2 Ge 3.17-3.28, 2 Na 3.29
Pt 0.1413 0.9188 0.1688  4 Ge 2.47-2.59
Na 0.1881 0.1645 0.4143  4 Pt 2.99-3.15, 2 Ge 3.17-3.28, 2 Na 3.29
Ge 0.6458 0.9092 0.1592  4 Pt 2.47-2.59
Ge 0.6458 0.4092 0.6592  4 Pt 2.47-2.59
Na 0.8117 0.3356 0.0856  4 Pt 2.99-3.15, 2 Ge 3.17-3.28, 2 Na 3.29
Pt 0.8587 0.5813 0.3313  4 Ge 2.47-2.59
Pt 0.1413 0.4187 0.6687  4 Ge 2.47-2.59
Ge 0.3542 0.0908 0.8408  4 Pt 2.47-2.59
Ge 0.3542 0.5908 0.3408  4 Pt 2.47-2.59
Na 0.8119 0.8355 0.5857  4 Pt 2.99-3.15, 2 Ge 3.17-3.28, 2 Na 3.29

***

> Which of these has the highest DFT total energy?

Ca2ReTe

***

> What is the DFT total energy in the first record?

-100.7 eV for the cell shown

***

> What is the formula in the third record?

Ca2ReTe

***

Please write out number 2 again, unchanged.
An optimized crystal structure of SrCoP2, computed with PBE.

Properties
* DFT total energy: -21.7 eV for the cell shown
* ΔE to the lowest computed polymorph: 148.7 meV/atom
* formation enthalpy at 0 K: -0.5119 eV/atom

Unit cell a=4.2307 b=4.6171 c=4.2613 alpha=89.99 beta=90.00 gamma=90.00
With the nearest neighbours (Å) after each atom.
Sites, in units of the cell vectors:
P 0.5000 0.0000 0.2887  2 Co 2.10-2.16
Co 0.5000 0.9999 0.7819  4 P 2.10-2.26
Sr 0.0000 0.5000 0.4615  8 P 3.12-3.22, 4 Co 3.42
P 0.0000 0.0000 0.9678  2 Co 2.26, 2 P 2.52